This record from Alexandria via LeMat-Bulk describes a relaxed structure of Rb2CrH4. The functional is PBE.

Lattice parameters (Å, degrees): 4.0898 4.0898 7.4780 74.13 74.13 90.00
Last column: nearest neighbours and their distance in Å.
Positions (direct):
Rb: 0.3558 0.3558 0.2884  9 H 2.85-3.08
H: 0.5000 0.0000 0.0000  2 Cr 2.04
H: 0.1323 0.1323 0.7355  1 Cr 1.82
Rb: 0.6442 0.6442 0.7116  9 H 2.85-3.08
Cr: 0.0000 0.0000 0.0000  2 H 1.82
H: 0.0000 0.5000 0.0000  2 Cr 2.04
H: 0.8677 0.8677 0.2645  1 Cr 1.82

* DFT total energy: -25.3 eV for the cell shown
* magnetic moment: 4.0 μB/f.u.

This record from Alexandria via LeMat-Bulk describes a relaxed structure of V2InRh3. The functional is PBE.

Lattice parameters (Å, degrees): 2.8536 2.8536 10.9434 90.00 90.00 90.00
Last column: nearest neighbours and their distance in Å.
Positions (direct):
V: 0.5000 0.5000 0.8389  8 Rh 2.61-2.68, 4 V 2.85
In: 0.5000 0.5000 0.5000  4 In 2.85, 8 Rh 2.88
V: 0.5000 0.5000 0.1611  8 Rh 2.61-2.68, 4 V 2.85
Rh: 0.0000 0.0000 0.3117  4 V 2.61, 4 Rh 2.85, 4 In 2.88
Rh: 0.0000 0.0000 0.6883  4 V 2.61, 4 Rh 2.85, 4 In 2.88
Rh: 0.0000 0.0000 0.0000  8 V 2.68, 4 Rh 2.85

* DFT total energy: -45.2 eV for the cell shown
* magnetic moment: 0.9 μB/f.u.
* energy of formation from the pure elements: -355 meV/atom

This record from Alexandria via LeMat-Bulk describes a relaxed structure of Zn2CrIr. The functional is PBE.

Lattice parameters (Å, degrees): 2.6668 2.6668 8.8319 90.00 90.00 116.66
Last column: nearest neighbours and their distance in Å.
Positions (direct):
Zn: 0.5000 0.5000 0.2586  2 Cr 2.58, 8 Zn 2.67-2.80
Ir: 0.5000 0.5000 0.7383  2 Cr 2.50, 4 Ir 2.67, 2 Zn 2.69
Cr: 0.0000 0.0000 0.5043  2 Ir 2.50, 2 Zn 2.58, 4 Cr 2.67
Zn: 0.0000 0.0000 0.9988  8 Zn 2.67-2.80, 2 Ir 2.69

* DFT total energy: -20.6 eV for the cell shown
* magnetic moment: 0.0 μB/f.u.
* E above lowest polymorph: 204 meV/atom
* energy of formation from the pure elements: 111 meV/atom

This record from Alexandria via LeMat-Bulk describes a relaxed structure of KCa2CdF8. The functional is PBE.

Lattice parameters (Å, degrees): 3.9460 5.5840 8.2111 90.00 90.00 90.00
Last column: nearest neighbours and their distance in Å.
Positions (direct):
F: 0.0000 0.7405 0.7736  1 Cd 2.36, 2 Ca 2.39
Cd: 0.0000 0.0000 0.0000  8 F 2.36-2.41
K: 0.0000 0.0000 0.5000  8 F 2.62-2.67
F: 0.5000 0.6907 0.5000  1 F 2.13
F: 0.0000 0.7404 0.2264  1 Cd 2.36, 2 Ca 2.39
F: 0.5000 0.2479 0.0000  2 Ca 2.35, 2 Cd 2.41
F: 0.5000 0.3093 0.5000  1 F 2.13
F: 0.5000 0.7521 0.0000  2 Ca 2.35, 2 Cd 2.41
F: 0.0000 0.2596 0.7736  1 Cd 2.36, 2 Ca 2.39
Ca: 0.5000 0.5000 0.2297  8 F 2.35-2.46
F: 0.0000 0.2595 0.2264  1 Cd 2.36, 2 Ca 2.39
Ca: 0.5000 0.5000 0.7703  8 F 2.35-2.46

* DFT total energy: -56.4 eV for the cell shown
* magnetic moment: 1.0 μB/f.u.

This record from Alexandria via LeMat-Bulk describes a relaxed structure of CdAuBr2. The functional is PBE.

Lattice parameters (Å, degrees): 5.1226 5.1227 3.6759 90.00 90.00 89.99
Last column: nearest neighbours and their distance in Å.
Positions (direct):
Br: 0.5000 0.5000 0.0000  4 Au 3.15, 4 Cd 3.15
Cd: 0.5000 0.0000 0.5000  8 Br 3.15
Br: 0.0000 0.0000 0.0000  4 Cd 3.15, 4 Au 3.15
Au: 0.0000 0.5000 0.5000  8 Br 3.15

* DFT total energy: -7.1 eV for the cell shown
* magnetic moment: 0.0 μB/f.u.
* E above lowest polymorph: 370 meV/atom

This record from Alexandria via LeMat-Bulk describes a relaxed structure of Er4TePtSe2. The functional is PBE.

Lattice parameters (Å, degrees): 4.0389 7.2707 7.2757 71.49 90.00 90.00
Last column: nearest neighbours and their distance in Å.
Positions (direct):
Er: 0.5000 0.2667 0.7208  2 Pt 2.79, 3 Se 2.88-3.08, 1 Te 3.03
Se: 0.0000 0.0000 0.0000  6 Er 3.05-3.08
Er: 0.0000 0.7569 0.7268  3 Se 2.84-3.05, 1 Pt 2.86, 2 Te 3.03
Te: 0.5000 0.5000 0.0000  6 Er 3.03
Er: 0.0000 0.2431 0.2732  3 Se 2.84-3.05, 1 Pt 2.86, 2 Te 3.03
Er: 0.5000 0.7333 0.2792  2 Pt 2.79, 3 Se 2.88-3.08, 1 Te 3.03
Se: 0.5000 0.0000 0.5000  6 Er 2.84-2.88
Pt: 0.0000 0.5000 0.5000  6 Er 2.79-2.86

* DFT total energy: -46.1 eV for the cell shown
* magnetic moment: 0.0 μB/f.u.

This record from Alexandria via LeMat-Bulk describes a relaxed structure of Sc2Rh6C. The functional is PBE.

Lattice parameters (Å, degrees): 5.6687 5.6687 5.6687 60.00 60.00 60.00
Last column: nearest neighbours and their distance in Å.
Positions (direct):
Rh: 0.7447 0.2553 0.7447  1 C 2.05
Rh: 0.2553 0.2553 0.7447  1 C 2.05
Rh: 0.7447 0.7447 0.2553  1 C 2.05
Rh: 0.2553 0.7447 0.2553  1 C 2.05
Rh: 0.2553 0.7447 0.7447  1 C 2.05
Sc: 0.7500 0.7500 0.7500  12 Rh 2.83
C: 0.0000 0.0000 0.0000  6 Rh 2.05
Sc: 0.2500 0.2500 0.2500  12 Rh 2.83
Rh: 0.7447 0.2553 0.2553  1 C 2.05

* DFT total energy: -71.8 eV for the cell shown
* magnetic moment: 0.0 μB/f.u.
* energy of formation from the pure elements: -643 meV/atom

This record from Alexandria via LeMat-Bulk describes a relaxed structure of Ho3ZnPd4. The functional is PBE.

Lattice parameters (Å, degrees): 3.8843 6.3032 8.1070 112.88 103.86 90.00
Last column: nearest neighbours and their distance in Å.
Positions (direct):
Ho: 0.8054 0.8054 0.6109  6 Pd 2.85-2.96
Zn: 0.5000 0.0000 0.0000  4 Pd 2.53
Pd: 0.6231 0.8367 0.2461  1 Zn 2.53, 1 Pd 2.69
Pd: 0.6231 0.4094 0.2461  1 Zn 2.53, 1 Pd 2.69
Pd: 0.3769 0.5906 0.7539  1 Zn 2.53, 1 Pd 2.69
Ho: 0.0000 0.5000 0.0000  8 Pd 2.96
Pd: 0.3769 0.1633 0.7539  1 Zn 2.53, 1 Pd 2.69
Ho: 0.1946 0.1946 0.3891  6 Pd 2.85-2.96

* DFT total energy: -41.4 eV for the cell shown
* magnetic moment: 0.0 μB/f.u.
* energy of formation from the pure elements: -704 meV/atom

This record from Alexandria via LeMat-Bulk describes a relaxed structure of LiSm3Si6Pd2. The functional is PBE.

Lattice parameters (Å, degrees): 5.8294 5.8294 8.0615 90.00 90.00 120.00
Last column: nearest neighbours and their distance in Å.
Positions (direct):
Sm: 0.0000 0.0000 0.0000  6 Si 3.00
Si: 0.1941 0.3882 0.2813  2 Si 2.44, 1 Pd 2.48, 1 Li 2.64
Si: 0.8059 0.6118 0.7187  2 Si 2.44, 1 Pd 2.48, 1 Li 2.64
Sm: 0.3333 0.6667 0.6180  9 Si 3.04-3.06, 1 Pd 3.30
Si: 0.8059 0.1941 0.7187  2 Si 2.44, 1 Pd 2.48, 1 Li 2.64
Si: 0.1941 0.8059 0.2813  2 Si 2.44, 1 Pd 2.48, 1 Li 2.64
Li: 0.0000 0.0000 0.5000  6 Si 2.64
Si: 0.3882 0.1941 0.7187  2 Si 2.44, 1 Pd 2.48, 1 Li 2.64
Pd: 0.3333 0.6667 0.0272  3 Si 2.48
Si: 0.6118 0.8059 0.2813  2 Si 2.44, 1 Pd 2.48, 1 Li 2.64
Sm: 0.6667 0.3333 0.3820  9 Si 3.04-3.06, 1 Pd 3.30
Pd: 0.6667 0.3333 0.9728  3 Si 2.48

* DFT total energy: -64.3 eV for the cell shown
* magnetic moment: 0.0 μB/f.u.

This record from Alexandria via LeMat-Bulk describes a relaxed structure of HoMgSc2Pt4. The functional is PBE.

Lattice parameters (Å, degrees): 4.6792 4.6792 8.1918 73.41 73.41 60.00
Last column: nearest neighbours and their distance in Å.
Positions (direct):
Mg: 0.5000 0.5000 0.5000  8 Pt 2.80-2.87
Ho: 0.0000 0.0000 0.0000  8 Pt 2.89-2.90
Pt: 0.8752 0.8752 0.3743  4 Sc 2.78-2.83, 3 Mg 2.87, 1 Ho 2.89
Pt: 0.6206 0.6206 0.1381  1 Mg 2.80, 4 Sc 2.88-3.12, 3 Ho 2.90
Pt: 0.3794 0.3794 0.8619  1 Mg 2.80, 4 Sc 2.88-3.12, 3 Ho 2.90
Sc: 0.7552 0.7552 0.7343  7 Pt 2.78-2.88
Pt: 0.1248 0.1248 0.6257  4 Sc 2.78-2.83, 3 Mg 2.87, 1 Ho 2.89
Sc: 0.2448 0.2448 0.2657  7 Pt 2.78-2.88

* DFT total energy: -52.1 eV for the cell shown
* magnetic moment: 0.0 μB/f.u.
* energy of formation from the pure elements: -1140 meV/atom

This record from Alexandria via LeMat-Bulk describes a relaxed structure of Hf2ZnPt. The functional is PBE.

Lattice parameters (Å, degrees): 7.3667 7.3667 6.0271 52.33 52.33 90.00
Last column: nearest neighbours and their distance in Å.
Positions (direct):
Hf: 0.3750 0.3499 0.7500  2 Pt 2.59, 2 Zn 2.84
Zn: 0.2500 0.7500 0.5000  4 Hf 2.84, 2 Pt 3.03
Hf: 0.0999 0.6250 0.2500  2 Pt 2.59, 2 Zn 2.84
Hf: 0.8750 0.9001 0.7500  2 Pt 2.59, 2 Zn 2.84
Pt: 0.7500 0.2500 0.5000  4 Hf 2.59
Hf: 0.6501 0.1250 0.2500  2 Pt 2.59, 2 Zn 2.84
Zn: 0.5000 0.5000 0.0000  4 Hf 2.84, 2 Pt 3.03
Pt: 0.0000 0.0000 0.0000  4 Hf 2.59

* DFT total energy: -55.7 eV for the cell shown
* magnetic moment: 0.0 μB/f.u.
* energy of formation from the pure elements: -159 meV/atom

This record from Alexandria via LeMat-Bulk describes a relaxed structure of TlInPt2. The functional is PBE.

Lattice parameters (Å, degrees): 5.5089 5.5089 5.5089 137.35 137.35 61.90
Last column: nearest neighbours and their distance in Å.
Positions (direct):
Pt: 0.0000 0.0000 0.0000  4 Tl 2.83, 4 In 3.10, 4 Pt 3.10
Tl: 0.5000 0.5000 0.0000  8 Pt 2.83-3.10, 4 In 3.10
Pt: 0.2500 0.7500 0.5000  4 In 2.83, 4 Tl 3.10, 4 Pt 3.10
In: 0.7500 0.2500 0.5000  8 Pt 2.83-3.10, 4 Tl 3.10

* DFT total energy: -17.7 eV for the cell shown
* magnetic moment: 0.0 μB/f.u.
* energy of formation from the pure elements: -122 meV/atom